DFT (GGA-PBE) results for InSiAg3 after structural relaxation.

Total magnetization in Bohr magnetons per cell: 0.00
Fermi-level density of states in states/eV per atom: 0.18
Formation energy from raw total energies in meV/atom: 281
E above lowest polymorph in meV/atom: 0

a b c (Å): 4.896 4.896 4.896
angles (deg): 90.00 90.00 90.00
Space group Pm-3m (No. 221)
Asymmetric unit:
In 0.000 0.000 0.000 (multiplicity 1)
Si 0.500 0.500 0.500 (multiplicity 1)
Ag 0.000 0.500 0.500 (multiplicity 3)


DFT (GGA-PBE) results for Er6In3Ru after structural relaxation.

Total magnetization in Bohr magnetons per cell: 0.00
Fermi-level density of states in states/eV per atom: 0.66
E above lowest polymorph in meV/atom: 42
Formation energy from the elements in eV per atom: -0.34

a b c (Å): 8.977 11.518 5.125
angles (deg): 90.00 90.00 90.00
Space group Pnnm (No. 58)
Asymmetric unit:
Er 0.014 0.236 0.000 (multiplicity 4)
Er 0.154 0.081 0.500 (multiplicity 4)
Er 0.193 0.412 0.500 (multiplicity 4)
In 0.000 0.500 0.000 (multiplicity 2)
In 0.153 0.721 0.500 (multiplicity 4)
Ru 0.000 0.000 0.000 (multiplicity 2)